VASP calculation (PBE) on an optimized crystal structure of Cs3Pm2InS6.

a = 7.195 Å, b = 7.195 Å, c = 8.433 Å
α = 98.21°, β = 98.21°, γ = 119.98°
Sites, in units of the cell vectors:
Cs 0.169 0.831 0.500
Cs 0.831 0.169 0.500
Cs 0.500 0.500 0.500
Pm 0.334 0.666 0.000
Pm 0.666 0.334 0.000
In 0.000 0.000 0.000
S 0.939 0.618 0.817
S 0.740 0.740 0.185
S 0.061 0.382 0.183
S 0.618 0.939 0.817
S 0.260 0.260 0.815
S 0.382 0.061 0.183

Output
Uncorrected energy: -4.754 eV per atom
Formation energy (no corrections): -1.4573 eV/atom
Volume: 30.2 A^3/atom
Crystal system: monoclinic

=====

VASP calculation (PBE) on an optimized crystal structure of VH3Ru.

a = 3.428 Å, b = 3.428 Å, c = 3.428 Å
α = 90.00°, β = 90.00°, γ = 90.00°
Each line ends with the local moment (μB).
Sites, in units of the cell vectors:
Ru 0.000 0.000 0.000  0.18
V 0.500 0.500 0.500  2.46
H 0.000 0.500 0.000  -0.01
H 0.000 0.000 0.500  -0.01
H 0.500 0.000 0.000  -0.01

Output
Uncorrected energy: -5.560 eV per atom
Volume: 8.1 A^3/atom
Crystal system: cubic

=====

VASP calculation (PBE) on an optimized crystal structure of U2CuAg2S6.

a = 6.959 Å, b = 6.959 Å, c = 6.569 Å
α = 99.98°, β = 99.98°, γ = 123.53°
Each line ends with the local moment (μB).
Sites, in units of the cell vectors:
U 0.338 0.662 0.500  1.69
U 0.662 0.338 0.500  1.69
Cu 0.000 0.000 0.500  -0.05
Ag 0.830 0.170 0.000  -0.03
Ag 0.170 0.830 0.000  -0.03
S 0.782 0.782 0.712  -0.05
S 0.073 0.429 0.734  -0.07
S 0.218 0.218 0.288  -0.05
S 0.429 0.073 0.734  -0.07
S 0.927 0.571 0.266  -0.07
S 0.571 0.927 0.266  -0.07

Output
Uncorrected energy: -5.953 eV per atom
Formation energy (no corrections): -0.7589 eV/atom
Volume: 22.4 A^3/atom
Crystal system: monoclinic

=====

VASP calculation (PBE) on an optimized crystal structure of SrTlCl2F.

a = 5.770 Å, b = 5.770 Å, c = 4.634 Å
α = 90.00°, β = 90.00°, γ = 90.00°
Sites, in units of the cell vectors:
Sr 0.000 0.000 0.000
Tl 0.500 0.500 0.500
F 0.000 0.000 0.500
Cl 0.000 0.500 0.000
Cl 0.500 0.000 0.000

Output
Uncorrected energy: -4.151 eV per atom
Formation energy (no corrections): -2.2289 eV/atom
Volume: 30.9 A^3/atom
Crystal system: tetragonal

=====

Computed size of the total moment, in the same sequence as the records: 0.0; 3.0; 3.0; 0.0 μB/f.u..